[1]
Compound: ScTa2Ir
Source: the Alexandria database
Functional: meta-GGA SCAN
Structure: single point on PBEsol structure Values from VASP.

The structure in Quantum ESPRESSO input format:
```
&SYSTEM
  ibrav = 0, nat = 4, ntyp = 3
/
ATOMIC_SPECIES
Sc 44.96 Sc.upf
Ta 180.95 Ta.upf
Ir 192.22 Ir.upf
CELL_PARAMETERS angstrom
1.462 0.844 9.444
-1.462 0.844 9.444
0.000 -1.688 9.444
ATOMIC_POSITIONS crystal
Sc 0.000 0.000 0.000
Ta 0.244 0.244 0.244
Ta 0.756 0.756 0.756
Ir 0.500 0.500 0.500
```

Computed properties:
Total magnetic moment: 0.0 μB/f.u.
Raw total energy: -218.49 eV per formula unit

=====

[2]
Compound: ScTcIr2
Source: the Alexandria database
Functional: meta-GGA SCAN
Structure: single point on PBEsol structure Values from VASP.

The structure in Quantum ESPRESSO input format:
```
&SYSTEM
  ibrav = 0, nat = 4, ntyp = 3
/
ATOMIC_SPECIES
Sc 44.96 Sc.upf
Tc 98.00 Tc.upf
Ir 192.22 Ir.upf
CELL_PARAMETERS angstrom
-1.980 1.980 3.814
1.980 -1.980 3.814
1.980 1.980 -3.814
ATOMIC_POSITIONS crystal
Sc 0.000 0.000 0.000
Tc 0.500 0.500 0.000
Ir 0.250 0.750 0.500
Ir 0.750 0.250 0.500
```

Computed properties:
Total magnetic moment: 1.3 μB/f.u.
Energy above the most stable polymorph in this dataset: 88.6 meV per atom

=====

[3]
Compound: ScTcIr2
Source: the Alexandria database
Functional: meta-GGA SCAN
Structure: single point on PBEsol structure Values from VASP.

The structure in Quantum ESPRESSO input format:
```
&SYSTEM
  ibrav = 0, nat = 4, ntyp = 3
/
ATOMIC_SPECIES
Sc 44.96 Sc.upf
Tc 98.00 Tc.upf
Ir 192.22 Ir.upf
CELL_PARAMETERS angstrom
4.621 0.000 0.000
0.000 4.621 0.000
0.000 0.000 2.833
ATOMIC_POSITIONS crystal
Sc 0.000 0.000 0.000
Tc 0.500 0.500 0.000
Ir 0.000 0.500 0.500
Ir 0.500 0.000 0.500
```

Computed properties:
Total magnetic moment: 0.0 μB/f.u.
Energy above the most stable polymorph in this dataset: 163.7 meV per atom

=====

[4]
Compound: ScTcIr
Source: the Alexandria database
Functional: meta-GGA SCAN
Structure: single point on PBEsol structure Values from VASP.

The structure in Quantum ESPRESSO input format:
```
&SYSTEM
  ibrav = 0, nat = 3, ntyp = 3
/
ATOMIC_SPECIES
Sc 44.96 Sc.upf
Tc 98.00 Tc.upf
Ir 192.22 Ir.upf
CELL_PARAMETERS angstrom
-1.595 1.595 4.615
1.595 -1.595 4.615
1.595 1.595 -4.615
ATOMIC_POSITIONS crystal
Sc 0.000 0.000 0.000
Tc 0.673 0.673 0.000
Ir 0.328 0.328 0.000
```

Computed properties:
Total magnetic moment: 0.0 μB/f.u.
Energy above the most stable polymorph in this dataset: 0.0 meV per atom

=====

[5]
Compound: ScTcIr
Source: the Alexandria database
Functional: meta-GGA SCAN
Structure: single point on PBEsol structure Values from VASP.

The structure in Quantum ESPRESSO input format:
```
&SYSTEM
  ibrav = 0, nat = 3, ntyp = 3
/
ATOMIC_SPECIES
Sc 44.96 Sc.upf
Tc 98.00 Tc.upf
Ir 192.22 Ir.upf
CELL_PARAMETERS angstrom
2.858 0.000 0.000
-1.429 2.475 0.000
0.000 0.000 6.686
ATOMIC_POSITIONS crystal
Sc 0.000 0.000 0.000
Tc 0.333 0.667 0.652
Ir 0.667 0.333 0.341
```

Computed properties:
Total magnetic moment: 0.0 μB/f.u.
Energy above the most stable polymorph in this dataset: 215.3 meV per atom

=====

[6]
Compound: ScTcIr2
Source: the Alexandria database
Functional: meta-GGA SCAN
Structure: single point on PBEsol structure Values from VASP.

The structure in Quantum ESPRESSO input format:
```
&SYSTEM
  ibrav = 0, nat = 4, ntyp = 3
/
ATOMIC_SPECIES
Sc 44.96 Sc.upf
Tc 98.00 Tc.upf
Ir 192.22 Ir.upf
CELL_PARAMETERS angstrom
2.794 -3.785 0.000
2.794 3.785 0.000
0.000 0.000 2.811
ATOMIC_POSITIONS crystal
Sc 0.000 0.000 0.000
Tc 0.500 0.500 0.000
Ir 0.000 0.500 0.500
Ir 0.500 0.000 0.500
```

Computed properties:
Total magnetic moment: 0.0 μB/f.u.
Energy above the most stable polymorph in this dataset: 0.0 meV per atom

=====

Repeat the fourth record exactly.
Compound: ScTcIr
Source: the Alexandria database
Functional: meta-GGA SCAN
Structure: single point on PBEsol structure Values from VASP.

The structure in Quantum ESPRESSO input format:
```
&SYSTEM
  ibrav = 0, nat = 3, ntyp = 3
/
ATOMIC_SPECIES
Sc 44.96 Sc.upf
Tc 98.00 Tc.upf
Ir 192.22 Ir.upf
CELL_PARAMETERS angstrom
-1.595 1.595 4.615
1.595 -1.595 4.615
1.595 1.595 -4.615
ATOMIC_POSITIONS crystal
Sc 0.000 0.000 0.000
Tc 0.673 0.673 0.000
Ir 0.328 0.328 0.000
```

Computed properties:
Total magnetic moment: 0.0 μB/f.u.
Energy above the most stable polymorph in this dataset: 0.0 meV per atom